CoSCl2O: optimized geometry, PBE+U.

a = 4.6072 Å, b = 4.6072 Å, c = 4.0394 Å
α = 90.00°, β = 90.00°, γ = 90.00°
Fractional coordinates of all 5 atoms:
Co (0.0000, 0.0000, 0.0000)
S (0.5000, 0.5000, 0.0000)
Cl (0.0000, 0.5000, 0.5000)
Cl (0.5000, 0.0000, 0.5000)
O (0.5000, 0.5000, 0.5000)

Computed properties:
mass density	3.445	g cm⁻³
VASP energy	-13.0	eV per formula unit